[1]
VASP calculation (GGA-PBE) on a geometry-optimized MgCuAgPb structure.

Lattice parameters (Å, degrees): 4.830 4.830 4.830 60.00 60.00 60.00
Sites, in units of the cell vectors:
1 Cu 0.750 0.750 0.750
2 Mg 0.500 0.500 0.500
3 Ag 0.250 0.250 0.250
4 Pb 0.000 0.000 0.000

Output
- space group = F-43m
- energy relative to the lowest polymorph listed for this composition (meV/atom) = 0

---

[2]
VASP calculation (GGA-PBE) on a geometry-optimized LiNbIr structure.

Lattice parameters (Å, degrees): 4.003 4.003 4.003 60.00 60.00 60.00
Sites, in units of the cell vectors:
1 Li 0.000 0.000 0.000
2 Nb 0.750 0.750 0.750
3 Ir 0.250 0.250 0.250

Output
- VASP energy (eV per atom) = -6.5020
- space group = F-43m

---

[3]
VASP calculation (GGA-PBE) on a geometry-optimized Li2Mg2Cd2PdPt structure.

Lattice parameters (Å, degrees): 4.566 4.566 6.453 90.00 90.00 90.00
Sites, in units of the cell vectors:
1 Mg 0.000 0.500 0.251
2 Mg 0.500 0.000 0.749
3 Pt 0.500 0.500 0.500
4 Cd 0.500 0.000 0.249
5 Cd 0.000 0.500 0.751
6 Li 0.500 0.500 0.000
7 Li 0.000 0.000 0.500
8 Pd 0.000 0.000 0.000

Output
- VASP energy (eV per atom) = -3.0010
- space group = P-4m2

---

[4]
VASP calculation (GGA-PBE) on a geometry-optimized Pu2Pt2Au structure.

Lattice parameters (Å, degrees): 7.608 7.608 3.816 90.00 90.00 90.00
Site moments in Bohr magnetons follow the coordinates.
Sites, in units of the cell vectors:
1 Pt 0.633 0.133 0.000  -0.13
2 Pt 0.133 0.367 0.000  -0.13
3 Pt 0.367 0.867 0.000  -0.13
4 Pt 0.867 0.633 0.000  -0.13
5 Pu 0.671 0.829 0.500  5.15
6 Pu 0.829 0.329 0.500  5.16
7 Pu 0.171 0.671 0.500  5.16
8 Pu 0.329 0.171 0.500  5.15
9 Au 0.500 0.500 0.000  0.02
10 Au 0.000 0.000 0.000  0.02

Output
- space group = P4/mbm
- energy of formation from the pure elements (eV per atom) = -0.791

---

[5]
VASP calculation (GGA-PBE) on a geometry-optimized Cu2Ag3 structure.

Lattice parameters (Å, degrees): 10.116 10.116 3.968 90.00 90.00 157.51
Sites, in units of the cell vectors:
1 Ag 0.604 0.396 0.000
2 Ag 0.000 0.000 0.000
3 Ag 0.701 0.299 0.500
4 Ag 0.500 0.500 0.500
5 Ag 0.396 0.604 0.000
6 Ag 0.299 0.701 0.500
7 Cu 0.896 0.104 0.500
8 Cu 0.201 0.799 0.000
9 Cu 0.104 0.896 0.500
10 Cu 0.799 0.201 0.000

Output
- space group = Cmmm
- energy of formation from the pure elements (eV per atom) = 0.095
- energy relative to the lowest polymorph listed for this composition (meV/atom) = 63

---

[6]
VASP calculation (GGA-PBE) on a geometry-optimized ScCoSn2 structure.

Lattice parameters (Å, degrees): 4.821 4.821 4.821 60.00 60.00 60.00
Sites, in units of the cell vectors:
1 Co 0.750 0.750 0.750
2 Sn 0.250 0.250 0.250
3 Sn 0.500 0.500 0.500
4 Sc 0.000 0.000 0.000

Output
- VASP energy (eV per atom) = -5.3352
- space group = F-43m

---

[7]
VASP calculation (GGA-PBE) on a geometry-optimized ZrHgMo2 structure.

Lattice parameters (Å, degrees): 4.694 4.694 4.694 60.00 60.00 60.00
Sites, in units of the cell vectors:
1 Mo 0.500 0.500 0.500
2 Mo 0.250 0.250 0.250
3 Zr 0.000 0.000 0.000
4 Hg 0.750 0.750 0.750

Output
- space group = F-43m
- energy of formation from the pure elements (eV per atom) = 0.269

---

[8]
VASP calculation (GGA-PBE) on a geometry-optimized Li4HfZrO6 structure.

Lattice parameters (Å, degrees): 5.348 5.348 5.211 100.02 100.02 119.76
Sites, in units of the cell vectors:
1 O 0.424 0.074 0.764
2 O 0.584 0.929 0.235
3 O 0.071 0.416 0.765
4 O 0.229 0.233 0.241
5 O 0.926 0.576 0.236
6 O 0.767 0.771 0.759
7 Li 0.998 0.002 0.500
8 Li 0.654 0.346 0.500
9 Li 0.500 0.500 0.000
10 Li 0.347 0.653 0.500
11 Hf 0.832 0.168 0.000
12 Zr 0.168 0.832 0.000

Output
- VASP energy (eV per atom) = -7.3793
- space group = C2